KYIr2: relaxed, PBE-GGA.

DOS(E_F), states/eV/cell: 11.94
Relative energy among the computed polymorphs, meV per atom: 376
Density, Mg/m³: 10.163

Unit cell a=6.9445 b=6.9445 c=6.9445 alpha=90.00 beta=90.00 gamma=90.00
Last column: nearest neighbours and their distance in Å.
Space group Fm-3m (No. 225)
Unique sites:
K (0.0000, 0.0000, 0.0000) x4  8 Ir 3.01
Y (0.0000, 0.0000, 0.5000) x4  8 Ir 3.01
Ir (0.2500, 0.2500, 0.2500) x8  4 K 3.01, 4 Y 3.01